VASP calculation (PBE) on a relaxed structure of PaP3.

Properties
E above lowest polymorph = 81 meV per atom
energy = -28.2 eV for the cell shown
magnetization = 0.00 μB per formula unit
E_form = -60 kJ/mol of atoms

a = 3.8601 Å, b = 3.8601 Å, c = 5.3975 Å
α = 110.95°, β = 110.95°, γ = 90.00°
Last column: nearest neighbours and their distance in Å.
Element x y z (fractional)
1 Pa 0.0000 0.0000 0.0000  12 P 2.73-3.02
2 P 0.5000 0.5000 0.0000  4 Pa 2.73, 8 P 3.02
3 P 0.7500 0.2500 0.5000  8 P 2.73-3.02, 4 Pa 3.02
4 P 0.2500 0.7500 0.5000  8 P 2.73-3.02, 4 Pa 3.02


VASP calculation (PBE) on a relaxed structure of Pa3P.

Properties
E above lowest polymorph = 0 meV per atom
energy = -35.9 eV for the cell shown
magnetization = 0.00 μB per formula unit
E_form = -48 kJ/mol of atoms

a = 4.3870 Å, b = 4.3870 Å, c = 4.3870 Å
α = 90.00°, β = 90.00°, γ = 90.00°
Last column: nearest neighbours and their distance in Å.
Element x y z (fractional)
1 Pa 0.5000 0.5000 0.0000  8 Pa 3.10, 4 P 3.10
2 Pa 0.5000 0.0000 0.5000  8 Pa 3.10, 4 P 3.10
3 Pa 0.0000 0.5000 0.5000  8 Pa 3.10, 4 P 3.10
4 P 0.0000 0.0000 0.0000  12 Pa 3.10


VASP calculation (PBE) on a relaxed structure of PaP3.

Properties
E above lowest polymorph = 0 meV per atom
energy = -57.1 eV for the cell shown
magnetization = 0.00 μB per formula unit
E_form = -68 kJ/mol of atoms

a = 5.5605 Å, b = 5.5605 Å, c = 5.4201 Å
α = 90.00°, β = 90.00°, γ = 120.00°
Last column: nearest neighbours and their distance in Å.
Element x y z (fractional)
1 P 0.6223 0.8112 0.2500  2 P 2.41
2 P 0.1888 0.8112 0.2500  2 P 2.41
3 P 0.1888 0.3777 0.2500  2 P 2.41
4 P 0.8112 0.6223 0.7500  2 P 2.41
5 P 0.3777 0.1888 0.7500  2 P 2.41
6 P 0.8112 0.1888 0.7500  2 P 2.41
7 Pa 0.3333 0.6667 0.7500  12 P 2.79-3.05
8 Pa 0.6667 0.3333 0.2500  12 P 2.79-3.05


Number 3 is which compound? PaP3


Copy entry 1 word for word.
VASP calculation (PBE) on a relaxed structure of PaP3.

Properties
E above lowest polymorph = 81 meV per atom
energy = -28.2 eV for the cell shown
magnetization = 0.00 μB per formula unit
E_form = -60 kJ/mol of atoms

a = 3.8601 Å, b = 3.8601 Å, c = 5.3975 Å
α = 110.95°, β = 110.95°, γ = 90.00°
Last column: nearest neighbours and their distance in Å.
Element x y z (fractional)
1 Pa 0.0000 0.0000 0.0000  12 P 2.73-3.02
2 P 0.5000 0.5000 0.0000  4 Pa 2.73, 8 P 3.02
3 P 0.7500 0.2500 0.5000  8 P 2.73-3.02, 4 Pa 3.02
4 P 0.2500 0.7500 0.5000  8 P 2.73-3.02, 4 Pa 3.02